A relaxed Li2ZnTe crystal. Source: Alexandria, functional PBE.

The structure belongs to space group I-42d (No. 122); the cell edges are 5.465, 5.465 and 15.951 Å and the angles 90.00°, 90.00° and 90.00°. The inequivalent atoms are Li at (0.192, 0.250, 0.125), Zn at (0.000, 0.000, 0.500) and Te at (0.000, 0.000, 0.000).

The total energy comes out at -2.355 eV per atom. The energy relative to the elements, uncorrected is -0.294 eV per atom. The calculation puts the polymorph energy (0 for the lowest one) at 19.0 kJ/mol of atoms. The volume is 476.4 Å³ per cell.

***

A relaxed LiZnTe crystal. Source: Alexandria, functional PBE.

The structure belongs to space group P3m1 (No. 156); the cell edges are 4.2947, 4.2947 and 4.2204 Å and the angles 90.00°, 90.00° and 120.00°. The inequivalent atoms are Li at (0.0000, 0.0000, 0.0000), Zn at (0.6667, 0.3333, 0.6677) and Te at (0.3333, 0.6667, 0.3634).

The total energy comes out at -2.418 eV per atom. The energy relative to the elements, uncorrected is -0.308 eV per atom. The calculation puts the polymorph energy (0 for the lowest one) at 3.1 kJ/mol of atoms. The volume is 67.4 Å³ per cell.

***

> Look up the polymorph energy (0 for the lowest one) of the second one.

3.1 kJ/mol of atoms

***

> The lowest polymorph energy (0 for the lowest one) belongs to which entry?

LiZnTe